[1]
{"formula": "TbTm2Fe9", "functional": "PBE", "state": "optimized geometry", "cell": [[2.5179, 1.4537, 7.9797], [-2.5179, 1.4537, 7.9797], [0.0000, -2.9075, 7.9797]], "species": ["Fe", "Fe", "Fe", "Fe", "Fe", "Fe", "Fe", "Fe", "Fe", "Tb", "Tm", "Tm"], "fractional_positions": [[0.4175, 0.9181, 0.4175], [0.5825, 0.0819, 0.5825], [0.3328, 0.3328, 0.3328], [0.0819, 0.5825, 0.5825], [0.4175, 0.4175, 0.9181], [0.6672, 0.6672, 0.6672], [0.9181, 0.4175, 0.4175], [0.5000, 0.5000, 0.5000], [0.5825, 0.5825, 0.0819], [0.0000, 0.0000, 0.0000], [0.1421, 0.1421, 0.1421], [0.8579, 0.8579, 0.8579]], "spacegroup": "R-3m, No. 166", "formation_energy_mev_per_atom": -99}


[2]
{"formula": "SrSmTa", "functional": "PBE", "state": "optimized geometry", "cell": [[0.0000, 3.7350, 3.7350], [3.7350, 0.0000, 3.7350], [3.7350, 3.7350, 0.0000]], "species": ["Ta", "Sr", "Sm"], "fractional_positions": [[0.7500, 0.7500, 0.7500], [0.2500, 0.2500, 0.2500], [0.0000, 0.0000, 0.0000]], "spacegroup": "F-43m, No. 216", "total_energy_ev_per_atom": -4.52}


[3]
{"formula": "GdErCo2Sn", "functional": "PBE", "state": "optimized geometry", "cell": [[3.8224, 0.0000, 0.0000], [0.0000, 1.9119, 6.8925], [0.0000, -1.9119, 6.8925]], "species": ["Co", "Co", "Gd", "Er", "Sn"], "fractional_positions": [[0.5000, 0.7956, 0.7956], [0.5000, 0.2018, 0.2018], [0.0000, 0.3625, 0.3625], [0.0000, 0.6383, 0.6383], [0.5000, 0.0018, 0.0018]], "spacegroup": "Amm2, No. 38", "total_energy_ev_per_atom": -5.91}


[4]
{"formula": "SmZn2", "functional": "PBE", "state": "optimized geometry", "cell": [[-4.0896, 2.1778, 2.9721], [-0.8267, 5.4421, -0.0276], [-4.4193, 2.0998, -2.5221]], "species": ["Zn", "Zn", "Zn", "Zn", "Sm", "Sm"], "fractional_positions": [[0.1250, 0.6250, 0.6250], [0.6250, 0.1250, 0.6250], [0.6250, 0.6250, 0.6250], [0.6250, 0.6250, 0.1250], [0.2500, 0.2500, 0.2500], [0.0000, 0.0000, 0.0000]], "spacegroup": "Fd-3m, No. 227", "formation_energy_mev_per_atom": -333}


[5]
{"formula": "YSn3W4", "functional": "PBE", "state": "optimized geometry", "cell": [[7.6657, -3.6644, 0.0000], [7.6657, 3.6644, 0.0000], [-0.5806, 0.0000, 2.9310]], "species": ["W", "W", "W", "W", "Sn", "Sn", "Sn", "Y"], "fractional_positions": [[0.5136, 0.1725, 0.3444], [0.1725, 0.5136, 0.3444], [0.8275, 0.4864, 0.6556], [0.4864, 0.8275, 0.6556], [0.5000, 0.5000, 0.0000], [0.1786, 0.1786, 0.1771], [0.8214, 0.8214, 0.8229], [0.0000, 0.0000, 0.5000]], "spacegroup": "Immm, No. 71", "total_energy_ev_per_atom": -8.08}


[6]
{"formula": "Ho5ThAg4", "functional": "PBE", "state": "optimized geometry", "cell": [[-2.5066, -1.8609, -1.7818], [1.8055, -3.0421, 0.6373], [-9.8817, -2.4228, 16.4313]], "species": ["Ag", "Ag", "Ag", "Ag", "Th", "Ho", "Ho", "Ho", "Ho", "Ho"], "fractional_positions": [[0.0000, 0.0000, 0.7821], [0.0000, 0.0000, 0.2179], [0.0000, 0.0000, 0.4056], [0.0000, 0.0000, 0.5944], [0.0000, 0.0000, 0.0000], [0.5000, 0.5000, 0.6887], [0.5000, 0.5000, 0.8770], [0.5000, 0.5000, 0.1230], [0.5000, 0.5000, 0.3113], [0.5000, 0.5000, 0.5000]], "spacegroup": "P4/mmm, No. 123", "formation_energy_mev_per_atom": -269}


[7]
{"formula": "PrHfNi2Sn2", "functional": "PBE", "state": "optimized geometry", "cell": [[4.4183, 0.0000, 0.0000], [-2.2092, 3.8264, 0.0000], [0.0000, 0.0000, 7.3671]], "species": ["Ni", "Ni", "Sn", "Sn", "Hf", "Pr"], "fractional_positions": [[0.3333, 0.6667, 0.0987], [0.6667, 0.3333, 0.4011], [0.6667, 0.3333, 0.0224], [0.3333, 0.6667, 0.4777], [0.0000, 0.0000, 0.2500], [0.0000, 0.0000, 0.7501]], "spacegroup": "P-3m1, No. 164", "total_energy_ev_per_atom": -6.24}


[8]
{"formula": "Pr2P2IrOsSe2", "functional": "PBE", "state": "optimized geometry", "cell": [[4.0622, 0.0000, 0.0000], [0.0000, 4.0622, 0.0000], [0.0000, 0.0000, 9.8623]], "species": ["Pr", "Pr", "P", "P", "Ir", "Se", "Se", "Os"], "fractional_positions": [[0.0000, 0.5000, 0.7386], [0.5000, 0.0000, 0.2614], [0.0000, 0.5000, 0.1298], [0.5000, 0.0000, 0.8702], [0.0000, 0.0000, 0.0000], [0.0000, 0.0000, 0.5000], [0.5000, 0.5000, 0.5000], [0.5000, 0.5000, 0.0000]], "spacegroup": "P-4m2, No. 115", "total_energy_ev_per_atom": -6.92}


[9]
{"formula": "LiPmNi4", "functional": "PBE", "state": "optimized geometry", "cell": [[4.8656, 0.2994, 0.7040], [2.0011, 4.2017, 1.6126], [1.8151, 0.2681, 4.5709]], "species": ["Li", "Ni", "Ni", "Ni", "Ni", "Pm"], "fractional_positions": [[0.0000, 0.0000, 0.0000], [0.3742, 0.3742, 0.3742], [0.3742, 0.3742, 0.8775], [0.8775, 0.3742, 0.3742], [0.3742, 0.8775, 0.3742], [0.7500, 0.7500, 0.7500]], "spacegroup": "F-43m, No. 216", "total_energy_ev_per_atom": -5.11}


[10]
{"formula": "Zr4CuPt", "functional": "PBE", "state": "optimized geometry", "cell": [[-4.5636, -0.3593, -0.7621], [1.0496, -3.9677, -4.4142], [-0.9581, -0.4216, 5.9358]], "species": ["Cu", "Zr", "Zr", "Zr", "Zr", "Pt"], "fractional_positions": [[0.0000, 0.7477, 0.7477], [0.5000, 0.5963, 0.9046], [0.5000, 0.9046, 0.5963], [0.0000, 0.4056, 0.0934], [0.0000, 0.0934, 0.4056], [0.5000, 0.2524, 0.2524]], "spacegroup": "Amm2, No. 38", "formation_energy_mev_per_atom": -427}


[11]
{"formula": "ErLuTlB", "functional": "PBE", "state": "optimized geometry", "cell": [[-2.9298, 2.0636, -0.2005], [-0.3210, -3.5747, 0.0239], [-0.9970, 0.2006, 16.6346]], "species": ["Er", "Er", "B", "B", "Lu", "Lu", "Tl", "Tl"], "fractional_positions": [[0.3333, 0.6667, 0.8397], [0.3333, 0.6667, 0.1603], [0.0000, 0.0000, 0.7480], [0.0000, 0.0000, 0.2520], [0.6667, 0.3333, 0.3423], [0.6667, 0.3333, 0.6577], [0.3333, 0.6667, 0.5000], [0.6667, 0.3333, 0.0000]], "spacegroup": "P-6m2, No. 187", "total_energy_ev_per_atom": -4.66}


[12]
{"formula": "Ni11W2", "functional": "PBE", "state": "optimized geometry", "cell": [[2.3202, 1.3396, 8.1159], [-2.3202, 1.3396, 8.1159], [0.0000, -2.6792, 8.1159]], "species": ["W", "W", "Ni", "Ni", "Ni", "Ni", "Ni", "Ni", "Ni", "Ni", "Ni", "Ni", "Ni"], "fractional_positions": [[0.3527, 0.3527, 0.3527], [0.6473, 0.6473, 0.6473], [0.5467, 0.5467, 0.5467], [0.9114, 0.4160, 0.9114], [0.4160, 0.9114, 0.9114], [0.4533, 0.4533, 0.4533], [0.1670, 0.1670, 0.1670], [0.9114, 0.9114, 0.4160], [0.0000, 0.0000, 0.0000], [0.0886, 0.0886, 0.5840], [0.8330, 0.8330, 0.8330], [0.5840, 0.0886, 0.0886], [0.0886, 0.5840, 0.0886]], "spacegroup": "R-3m, No. 166", "formation_energy_mev_per_atom": 70}


[13]
{"formula": "RbGdPO", "functional": "PBE", "state": "optimized geometry", "cell": [[-5.0656, 0.9876, 2.7361], [-2.2935, -4.7356, -2.5369], [1.5832, -2.8972, 3.9770]], "species": ["Gd", "Gd", "Rb", "Rb", "O", "O", "P", "P"], "fractional_positions": [[0.7500, 0.2500, 0.5000], [0.2500, 0.7500, 0.5000], [0.7500, 0.7500, 0.0058], [0.2500, 0.2500, 0.9942], [0.7500, 0.2500, 0.0000], [0.2500, 0.7500, 0.0000], [0.7500, 0.7500, 0.5073], [0.2500, 0.2500, 0.4927]], "spacegroup": "P4/nmm, No. 129", "total_energy_ev_per_atom": -4.94}


[14]
{"formula": "LuThNi", "functional": "PBE", "state": "optimized geometry", "cell": [[0.0000, 3.3553, 3.3553], [3.3553, 0.0000, 3.3553], [3.3553, 3.3553, 0.0000]], "species": ["Lu", "Ni", "Th"], "fractional_positions": [[0.2500, 0.2500, 0.2500], [0.0000, 0.0000, 0.0000], [0.7500, 0.7500, 0.7500]], "spacegroup": "F-43m, No. 216", "formation_energy_mev_per_atom": -105}


[15]
{"formula": "NaHfAgSe3", "functional": "PBE", "state": "optimized geometry", "cell": [[8.5544, -1.9130, 0.0000], [8.5544, 1.9130, 0.0000], [-1.9530, 0.0000, 8.6560]], "species": ["Ag", "Ag", "Na", "Na", "Se", "Se", "Se", "Se", "Se", "Se", "Hf", "Hf"], "fractional_positions": [[0.4636, 0.4636, 0.2694], [0.5364, 0.5364, 0.7306], [0.8748, 0.8748, 0.9330], [0.1252, 0.1252, 0.0670], [0.3055, 0.3055, 0.1925], [0.0000, 0.0000, 0.5000], [0.3302, 0.3302, 0.6238], [0.6698, 0.6698, 0.3762], [0.6945, 0.6945, 0.8075], [0.5000, 0.5000, 0.0000], [0.1673, 0.1673, 0.5900], [0.8327, 0.8327, 0.4100]], "spacegroup": "C2/m, No. 12", "total_energy_ev_per_atom": -5.01}


[16]
{"formula": "YZnTe2", "functional": "PBE", "state": "optimized geometry", "cell": [[1.1025, -5.1953, -0.3617], [-0.3080, -3.0934, 4.3212], [-3.9095, -3.5870, 0.4324]], "species": ["Te", "Te", "Y", "Zn"], "fractional_positions": [[0.7500, 0.7500, 0.7500], [0.0000, 0.0000, 0.0000], [0.2500, 0.2500, 0.2500], [0.5000, 0.5000, 0.5000]], "spacegroup": "F-43m, No. 216", "total_energy_ev_per_atom": -3.80}


[17]
{"formula": "CdSnSb", "functional": "PBE", "state": "optimized geometry", "cell": [[0.0000, 3.6110, 3.6110], [3.6110, 0.0000, 3.6110], [3.6110, 3.6110, 0.0000]], "species": ["Sb", "Sn", "Cd"], "fractional_positions": [[0.0000, 0.0000, 0.0000], [0.7500, 0.7500, 0.7500], [0.2500, 0.2500, 0.2500]], "spacegroup": "F-43m, No. 216", "total_energy_ev_per_atom": -2.87}


[18]
{"formula": "TmReSi", "functional": "PBE", "state": "optimized geometry", "cell": [[0.0000, 3.2134, 3.2134], [3.2134, 0.0000, 3.2134], [3.2134, 3.2134, 0.0000]], "species": ["Tm", "Si", "Re"], "fractional_positions": [[0.0000, 0.0000, 0.0000], [0.7500, 0.7500, 0.7500], [0.2500, 0.2500, 0.2500]], "spacegroup": "F-43m, No. 216", "total_energy_ev_per_atom": -6.23}


[19]
{"formula": "TmSnAuS3", "functional": "PBE", "state": "optimized geometry", "cell": [[8.6679, -1.9281, 0.0000], [8.6679, 1.9281, 0.0000], [-1.8486, 0.0000, 7.9981]], "species": ["Sn", "Sn", "Tm", "Tm", "S", "S", "S", "S", "S", "S", "Au", "Au"], "fractional_positions": [[0.1319, 0.1319, 0.0812], [0.8681, 0.8681, 0.9188], [0.8362, 0.8362, 0.4095], [0.1638, 0.1638, 0.5905], [0.3106, 0.3106, 0.1713], [0.6745, 0.6745, 0.3607], [0.3255, 0.3255, 0.6393], [0.5000, 0.5000, 0.0000], [0.0000, 0.0000, 0.5000], [0.6894, 0.6894, 0.8287], [0.4588, 0.4588, 0.2766], [0.5412, 0.5412, 0.7234]], "spacegroup": "C2/m, No. 12", "total_energy_ev_per_atom": -4.91}


[20]
{"formula": "CoPdPt2", "functional": "PBE", "state": "optimized geometry", "cell": [[0.6356, -3.0857, -3.0507], [-1.3571, -4.1077, 0.7199], [-3.4121, -1.6061, -2.2385]], "species": ["Pt", "Pt", "Co", "Pd"], "fractional_positions": [[0.0000, 0.0000, 0.0000], [0.7500, 0.7500, 0.7500], [0.2500, 0.2500, 0.2500], [0.5000, 0.5000, 0.5000]], "spacegroup": "F-43m, No. 216", "formation_energy_mev_per_atom": 119}


[21]
{"formula": "Zn2AgAu", "functional": "PBE", "state": "optimized geometry", "cell": [[0.0000, 3.2033, 3.2033], [3.2033, 0.0000, 3.2033], [3.2033, 3.2033, 0.0000]], "species": ["Zn", "Zn", "Au", "Ag"], "fractional_positions": [[0.0000, 0.0000, 0.0000], [0.2500, 0.2500, 0.2500], [0.5000, 0.5000, 0.5000], [0.7500, 0.7500, 0.7500]], "spacegroup": "F-43m, No. 216", "formation_energy_mev_per_atom": -68}


[22]
{"formula": "Pr2Nd2I3Br2N", "functional": "PBE", "state": "optimized geometry", "cell": [[-7.8032, 4.8568, -2.9366], [-8.8613, 3.7432, 0.7538], [5.0357, 6.2952, 3.3436]], "species": ["Pr", "Pr", "I", "I", "I", "Br", "Br", "Nd", "Nd", "N"], "fractional_positions": [[0.6347, 0.6347, 0.0703], [0.3653, 0.3653, 0.9297], [0.1711, 0.1711, 0.8111], [0.8289, 0.8289, 0.1889], [0.5000, 0.5000, 0.5000], [0.8415, 0.8415, 0.6673], [0.1585, 0.1585, 0.3327], [0.0005, 0.0005, 0.8069], [0.9995, 0.9995, 0.1931], [0.5000, 0.5000, 0.0000]], "spacegroup": "C2/m, No. 12", "total_energy_ev_per_atom": -4.98}


[23]
{"formula": "PaSi2Tc2", "functional": "PBE", "state": "optimized geometry", "cell": [[4.4667, -2.4631, 2.4947], [-1.0745, -4.3427, 3.4969], [-1.4668, 1.5126, -5.2728]], "species": ["Pa", "Tc", "Tc", "Si", "Si"], "fractional_positions": [[0.0000, 0.0000, 0.0000], [0.2500, 0.7500, 0.5000], [0.7500, 0.2500, 0.5000], [0.3751, 0.3751, 0.0000], [0.6249, 0.6249, 0.0000]], "spacegroup": "I4/mmm, No. 139", "total_energy_ev_per_atom": -8.80}


[24]
{"formula": "ThCu5Pd7", "functional": "PBE", "state": "optimized geometry", "cell": [[-2.5272, 4.3793, 4.4671], [2.5272, -4.3793, 4.4671], [2.5272, 4.3793, -4.4671]], "species": ["Cu", "Cu", "Cu", "Cu", "Cu", "Pd", "Pd", "Pd", "Pd", "Pd", "Pd", "Pd", "Th"], "fractional_positions": [[0.9960, 0.0004, 0.4969], [0.7654, 0.2654, 0.5000], [0.5035, 0.0004, 0.0045], [0.9960, 0.4991, 0.9955], [0.5035, 0.4991, 0.5031], [0.3484, 0.3484, 0.0000], [0.7925, 0.4960, 0.2965], [0.3433, 0.0017, 0.3416], [0.1994, 0.4960, 0.7035], [0.6600, 0.0017, 0.6584], [0.6573, 0.6573, 0.0000], [0.2281, 0.7281, 0.5000], [0.0065, 0.0065, 0.0000]], "spacegroup": "Imm2, No. 44", "formation_energy_mev_per_atom": -380}


[25]
{"formula": "LaTbNi", "functional": "PBE", "state": "optimized geometry", "cell": [[-0.6106, -1.7221, 4.0719], [-0.6942, -6.7966, -2.9785], [6.7118, 2.4985, 2.0632]], "species": ["La", "La", "La", "Tb", "Tb", "Tb", "Ni", "Ni", "Ni"], "fractional_positions": [[0.5000, 0.4082, 0.4082], [0.5000, 0.5919, 0.0000], [0.5000, 0.0000, 0.5919], [0.0000, 0.3334, 0.6667], [0.0000, 0.6667, 0.3334], [0.5000, 0.0000, 0.0000], [0.0000, 0.2537, 0.0000], [0.0000, 0.0000, 0.2537], [0.0000, 0.7463, 0.7463]], "spacegroup": "P-62m, No. 189", "formation_energy_mev_per_atom": 93}


[26]
{"formula": "BaGdGe", "functional": "PBE", "state": "optimized geometry", "cell": [[0.0000, 3.7485, 3.7485], [3.7485, 0.0000, 3.7485], [3.7485, 3.7485, 0.0000]], "species": ["Ge", "Ba", "Gd"], "fractional_positions": [[0.0000, 0.0000, 0.0000], [0.2500, 0.2500, 0.2500], [0.7500, 0.7500, 0.7500]], "spacegroup": "F-43m, No. 216", "total_energy_ev_per_atom": -4.01}